VASP calculation (PBE+U) on a relaxed structure of Na3VSiBO7.

POSCAR file:
```
Na3VSiBO7
1.0
5.3519 0.0000 -0.0049
0.0000 6.6229 0.0000
-0.2629 0.0000 8.9131
O V Na B Si
14 2 6 2 2
Cartesian
2.1544 4.9672 4.6018
4.6748 4.9672 3.7466
2.6863 1.6557 7.2740
0.4141 1.6557 5.1616
1.0318 2.9600 2.8765
2.9345 1.6557 4.3064
1.4871 4.9672 8.1952
3.6018 1.6557 0.7130
4.9413 1.6557 7.7725
2.4027 4.9672 1.6342
4.0571 6.2715 6.0317
1.0318 0.3514 2.8765
0.1476 4.9672 1.1357
4.0571 3.6629 6.0317
1.0432 4.9672 3.0136
4.0457 1.6557 5.8945
1.1631 3.3421 6.6569
3.9259 3.2808 2.2512
1.2229 1.6557 0.7586
3.8661 4.9672 8.1496
1.1631 6.5923 6.6569
3.9259 0.0307 2.2512
1.4305 4.9672 0.5839
3.6584 1.6557 8.3242
3.7233 4.9672 5.0998
1.3656 1.6557 3.8084
```

Fermi-level density of states in states/eV per cell: 0.0
Total energy in eV/atom: -6.7174